# 1
Crystalline Sm2Be3SiPt4 at its relaxed geometry. Source: Alexandria via LeMat-Bulk, functional GGA-PBE.

Cell: 4.1198 4.1198 9.5834 Å, 90.00 90.00 90.00°
Last column: nearest neighbours and their distance in Å.
Sites, in units of the cell vectors:
Sm (0.0000, 0.5000, 0.7503)  8 Pt 3.13-3.16, 6 Be 3.16, 2 Si 3.16
Be (0.0000, 0.5000, 0.1212)  5 Pt 2.36-2.37
Pt (0.0000, 0.0000, 0.0000)  4 Be 2.36
Pt (0.5000, 0.0000, 0.6310)  3 Be 2.37-2.41, 2 Si 2.41
Pt (0.0000, 0.5000, 0.3690)  3 Be 2.37-2.41, 2 Si 2.41
Be (0.0000, 0.0000, 0.5000)  4 Pt 2.41
Pt (0.5000, 0.5000, 0.0000)  4 Be 2.36
Sm (0.5000, 0.0000, 0.2497)  8 Pt 3.13-3.16, 6 Be 3.16, 2 Si 3.16
Be (0.5000, 0.0000, 0.8788)  5 Pt 2.36-2.37
Si (0.5000, 0.5000, 0.5000)  4 Pt 2.41

Values from the calculation:
Calculated total energy, eV/atom: -5.972
Total moment, Bohr magnetons per cell: 0.0
N(E_F), states/eV per atom: 0.558
Raw formation energy, meV per atom: -951.6

---

# 2
Crystalline Cd2BS at its relaxed geometry. Source: Alexandria via LeMat-Bulk, functional GGA-PBE.

Cell: 6.1396 6.1396 6.3276 Å, 60.98 60.98 90.00°
Last column: nearest neighbours and their distance in Å.
Sites, in units of the cell vectors:
Cd (0.3750, 0.4069, 0.7500)  2 B 2.34, 2 S 2.58
Cd (0.1569, 0.6250, 0.2500)  2 B 2.34, 2 S 2.58
S (0.0000, 0.0000, 0.0000)  4 Cd 2.58
B (0.2500, 0.7500, 0.5000)  4 Cd 2.34
B (0.5000, 0.5000, 0.0000)  4 Cd 2.34
Cd (0.8750, 0.8431, 0.7500)  2 B 2.34, 2 S 2.58
Cd (0.5931, 0.1250, 0.2500)  2 B 2.34, 2 S 2.58
S (0.7500, 0.2500, 0.5000)  4 Cd 2.58

Values from the calculation:
Calculated total energy, eV/atom: -2.595
Total moment, Bohr magnetons per cell: 0.0
N(E_F), states/eV per atom: 0.231
Raw formation energy, meV per atom: 564.1
Excess energy over the best structure of this formula in the dataset, eV/atom: 0.000

---

# 3
Crystalline CaIrNO2 at its relaxed geometry. Source: Alexandria via LeMat-Bulk, functional GGA-PBE.

Cell: 4.0996 4.0996 3.7132 Å, 90.00 90.00 90.00°
Last column: nearest neighbours and their distance in Å.
Sites, in units of the cell vectors:
O (0.0000, 0.5000, 0.0000)  2 Ir 2.05
Ir (0.0000, 0.0000, 0.0000)  2 N 1.86, 4 O 2.05
N (0.0000, 0.0000, 0.5000)  2 Ir 1.86
Ca (0.5000, 0.5000, 0.5000)  8 O 2.77, 4 N 2.90
O (0.5000, 0.0000, 0.0000)  2 Ir 2.05

Values from the calculation:
Calculated total energy, eV/atom: -6.721
Total moment, Bohr magnetons per cell: 0.0
N(E_F), states/eV per atom: 0.618
Raw formation energy, meV per atom: -900.4

---

# 4
Crystalline AgBi2SbS6 at its relaxed geometry. Source: Alexandria via LeMat-Bulk, functional GGA-PBE.

Cell: 6.9601 6.9599 7.2951 Å, 61.52 61.52 60.00°
Last column: nearest neighbours and their distance in Å.
Sites, in units of the cell vectors:
S (0.1352, 0.4303, 0.7313)  1 Ag 2.47, 1 Sb 2.59
S (0.9833, 0.5778, 0.2392)  1 Sb 2.53, 1 Bi 2.76
S (0.7030, 0.1351, 0.7314)  1 Ag 2.47, 1 Sb 2.59
Bi (0.0118, 0.0116, 0.9646)  6 S 2.76-2.92
Bi (0.5302, 0.5307, 0.4086)  6 S 2.79-2.92
S (0.1994, 0.9834, 0.2394)  1 Sb 2.53, 1 Bi 2.76
S (0.4306, 0.7031, 0.7314)  1 Ag 2.47, 1 Sb 2.59
Sb (0.3314, 0.3314, 0.0058)  6 S 2.53-2.59
Ag (0.7588, 0.7586, 0.7242)  3 S 2.47
S (0.5778, 0.1997, 0.2392)  1 Sb 2.53, 1 Bi 2.76

Values from the calculation:
Calculated total energy, eV/atom: -4.130
Total moment, Bohr magnetons per cell: 0.0
Raw formation energy, meV per atom: -179.5